(1)
A plane-wave DFT calculation with PBE was carried out for crystalline Ca2CI at its relaxed geometry.

Cell and atoms, written as POSCAR:
```
Ca2CI
1.0
-3.6009 3.6009 4.5459
3.6009 -3.6009 4.5459
3.6009 3.6009 -4.5459
Ca C I
4 2 2
direct
0.0263 0.6250 0.9013
0.3750 0.2763 0.4013
0.7237 0.1250 0.0987
0.8750 0.9737 0.5987
0.0000 0.0000 0.0000
0.7500 0.2500 0.5000
0.2500 0.7500 0.5000
0.5000 0.5000 0.0000
```

Space group: I-42d, No. 122
E_form (uncorrected): -0.12 eV per atom
Density of states at the Fermi level: 3.65 states/eV/f.u.



(2)
A plane-wave DFT calculation with PBE was carried out for crystalline Ca2CI at its relaxed geometry.

Cell and atoms, written as POSCAR:
```
Ca2CI
1.0
0.0000 3.6072 3.6072
3.6072 0.0000 3.6072
3.6072 3.6072 0.0000
Ca C I
2 1 1
direct
0.2500 0.2500 0.2500
0.7500 0.7500 0.7500
0.0000 0.0000 0.0000
0.5000 0.5000 0.5000
```

Space group: Fm-3m, No. 225
E_form (uncorrected): 0.38 eV per atom
Density of states at the Fermi level: 3.04 states/eV/f.u.